Run P
A plane-wave DFT calculation with PBE was carried out for a relaxed structure of Rb2Pa3Te8.

The value obtained for the total magnetization is 0.079 μB/atom.

Cell and atoms, written as CIF:
```
data_Rb2Pa3Te8
_cell_length_a 10.9421
_cell_length_b 18.2011
_cell_length_c 5.1766
_cell_angle_alpha 90.00
_cell_angle_beta 90.00
_cell_angle_gamma 90.00
_symmetry_space_group_name_H-M 'C m m m'
_symmetry_Int_Tables_number 65
_symmetry_space_group_name_Hall '-C 2 2'
loop_
_atom_site_label
_atom_site_type_symbol
_atom_site_fract_x
_atom_site_fract_y
_atom_site_fract_z
_atom_site_occupancy
Rb1 Rb 0.0000 0.2442 0.0000 1
Pa1 Pa 0.0000 0.5000 0.0000 1
Pa2 Pa 0.2165 0.0000 0.5000 1
Te1 Te 0.0000 0.1034 0.5000 1
Te2 Te 0.0000 0.4045 0.5000 1
Te3 Te 0.2378 0.4021 0.0000 1
```

***

Run Q
A plane-wave DFT calculation with PBE was carried out for a relaxed structure of Rb2Pa3Te8.

The value obtained for the total magnetization is 0.090 μB/atom.

Cell and atoms, written as CIF:
```
data_Rb2Pa3Te8
_cell_length_a 17.9786
_cell_length_b 8.9735
_cell_length_c 7.7574
_cell_angle_alpha 90.00
_cell_angle_beta 106.88
_cell_angle_gamma 90.00
_symmetry_space_group_name_H-M 'C 1 2/m 1'
_symmetry_Int_Tables_number 12
loop_
_symmetry_equiv_pos_as_xyz
'x,y,z'
'-x,-y,-z'
'-x,y,-z'
'x,-y,z'
'x+1/2,y+1/2,z'
'-x+1/2,-y+1/2,-z'
'-x+1/2,y+1/2,-z'
'x+1/2,-y+1/2,z'
loop_
_atom_site_label
_atom_site_type_symbol
_atom_site_fract_x
_atom_site_fract_y
_atom_site_fract_z
_atom_site_occupancy
Rb1 Rb 0.2403 0.0000 0.1672 1
Pa1 Pa 0.0000 0.2438 0.5000 1
Pa2 Pa 0.0000 0.5000 0.0000 1
Te1 Te 0.0953 0.2637 0.8884 1
Te2 Te 0.0978 0.5000 0.3974 1
Te3 Te 0.1042 0.0000 0.4469 1
```

***

Which of them is the most stable? Correct choice: run Q.